Density functional theory data (GGA-PBE) for a geometry-optimized AlZn structure.

The structure in POSCAR format:
```
AlZn
1.0
0.0000 2.9246 2.9246
2.9246 0.0000 2.9246
2.9246 2.9246 0.0000
Al Zn
1 1
direct
0.0000 0.0000 0.0000 Al
0.7500 0.7500 0.7500 Zn
```

Computed properties:
VASP energy in eV per atom: -1.883
Magnetization in μB per cell: 0.00
Density in kg/m3: 3066
Formation energy in eV/atom: 0.625